Entry 1:
The following is a PBE-GGA calculation of a relaxed YSiAg crystal, from the Alexandria database.

```
YSiAg
1.0
5.891 0.000 0.000
0.000 4.730 0.000
0.000 0.000 9.018
Y Si Ag
4 4 4
Direct
0.211 0.250 0.086
0.289 0.750 0.586
0.711 0.250 0.414
0.789 0.750 0.914
0.210 0.250 0.406
0.290 0.750 0.906
0.710 0.250 0.094
0.790 0.750 0.594
0.014 0.750 0.297
0.486 0.250 0.797
0.514 0.750 0.203
0.986 0.250 0.703
```

Computed properties:
Uncorrected formation energy in eV/atom: -0.3895
DOS at the Fermi energy in states/eV/cell: 1.83
Final energy in eV/atom: -5.3023
Calculated volume in A^3/atom: 20.9

---

Entry 2:
The following is a PBE-GGA calculation of a relaxed YSiAg crystal, from the Alexandria database.

```
YSiAg
1.0
5.068 -2.207 0.000
5.068 2.207 0.000
-2.252 0.000 5.777
Y Si Ag
2 2 2
Direct
0.000 0.000 0.000
0.715 0.715 0.487
0.451 0.451 0.664
0.698 0.698 0.972
0.014 0.014 0.491
0.326 0.326 0.197
```

Computed properties:
Uncorrected formation energy in eV/atom: -0.3442
DOS at the Fermi energy in states/eV/cell: 3.63
Final energy in eV/atom: -5.2570
Calculated volume in A^3/atom: 21.5

---

Entry 3:
The following is a PBE-GGA calculation of a relaxed YSiAg crystal, from the Alexandria database.

```
YSiAg
1.0
0.000 2.898 7.685
2.896 0.000 7.685
2.896 2.898 0.000
Y Si Ag
2 2 2
Direct
0.000 0.000 0.000
0.250 0.250 0.250
0.675 0.675 0.825
0.825 0.825 0.675
0.413 0.413 0.587
0.587 0.587 0.413
```

Computed properties:
Uncorrected formation energy in eV/atom: -0.4558
DOS at the Fermi energy in states/eV/cell: 3.93
Final energy in eV/atom: -5.3685
Calculated volume in A^3/atom: 21.5

---

Entry 4:
The following is a PBE-GGA calculation of a relaxed YSiAg crystal, from the Alexandria database.

```
YSiAg
1.0
7.097 0.000 0.000
0.000 4.226 0.000
-0.084 0.000 12.122
Y Si Ag
6 6 6
Direct
0.023 0.250 0.207
0.341 0.750 0.580
0.476 0.750 0.876
0.524 0.250 0.124
0.659 0.250 0.420
0.977 0.750 0.793
0.242 0.750 0.081
0.248 0.250 0.413
0.266 0.250 0.750
0.734 0.750 0.250
0.752 0.750 0.587
0.758 0.250 0.919
0.005 0.250 0.589
0.148 0.250 0.959
0.361 0.750 0.296
0.639 0.250 0.704
0.852 0.750 0.041
0.995 0.750 0.411
```

Computed properties:
Uncorrected formation energy in eV/atom: -0.6003
DOS at the Fermi energy in states/eV/cell: 2.74
Final energy in eV/atom: -5.5131
Calculated volume in A^3/atom: 20.2

---

Entry 5:
The following is a PBE-GGA calculation of a relaxed YSiAg crystal, from the Alexandria database.

```
YSiAg
1.0
4.912 -1.927 0.000
4.912 1.927 0.000
-2.886 0.000 6.676
Y Si Ag
2 2 2
Direct
0.000 0.000 0.000
0.718 0.718 0.429
0.349 0.349 0.200
0.994 0.994 0.403
0.238 0.238 0.792
0.493 0.493 0.666
```

Computed properties:
Uncorrected formation energy in eV/atom: -0.3911
DOS at the Fermi energy in states/eV/cell: 3.73
Final energy in eV/atom: -5.3039
Calculated volume in A^3/atom: 21.1

---

Entry 6:
The following is a PBE-GGA calculation of a relaxed YSiAg crystal, from the Alexandria database.

```
YSiAg
1.0
-2.204 3.617 3.831
2.204 -3.617 3.831
2.204 3.617 -3.831
Y Si Ag
2 2 2
Direct
0.000 0.000 0.000
0.552 0.052 0.500
0.415 0.687 0.728
0.960 0.687 0.272
0.142 0.357 0.785
0.572 0.357 0.215
```

Computed properties:
Uncorrected formation energy in eV/atom: -0.5112
DOS at the Fermi energy in states/eV/cell: 3.68
Final energy in eV/atom: -5.4239
Calculated volume in A^3/atom: 20.4

---

Entry 7:
The following is a PBE-GGA calculation of a relaxed YSiAg crystal, from the Alexandria database.

```
YSiAg
1.0
2.049 -7.990 0.000
2.049 7.990 0.000
0.000 0.000 3.766
Y Si Ag
2 2 2
Direct
0.099 0.901 0.750
0.901 0.099 0.250
0.455 0.545 0.750
0.545 0.455 0.250
0.289 0.711 0.750
0.711 0.289 0.250
```

Computed properties:
Uncorrected formation energy in eV/atom: -0.5633
DOS at the Fermi energy in states/eV/cell: 2.22
Final energy in eV/atom: -5.4761
Calculated volume in A^3/atom: 20.6

---

Entry 8:
The following is a PBE-GGA calculation of a relaxed YSiAg4 crystal, from the Alexandria database.

```
YSiAg4
1.0
0.000 3.921 3.921
3.921 0.000 3.921
3.921 3.921 0.000
Y Si Ag
1 1 4
Direct
0.000 0.000 0.000
0.250 0.250 0.250
0.125 0.625 0.625
0.625 0.125 0.625
0.625 0.625 0.125
0.625 0.625 0.625
```

Computed properties:
Uncorrected formation energy in eV/atom: 0.0112
DOS at the Fermi energy in states/eV/cell: 3.77
Final energy in eV/atom: -3.8708
Calculated volume in A^3/atom: 20.1